Record 1
Entry from OQMD via LeMat-Bulk: crystalline DySBr at its relaxed geometry (PBE).

a b c (Å): 6.835 6.881 6.813
angles (deg): 90.00 100.00 90.00
Space group P2_1/c (No. 14)
One atom of each set of equivalent atoms:
Dy: 0.178 0.037 0.293 x4
S: 0.056 0.740 0.509 x4
Br: 0.421 0.127 0.699 x4

Calculated values
As for the crystal system: monoclinic. The value obtained for the size of the total moment is 0.001 μB/atom. For the relative energy among the computed polymorphs, the calculation gives 40 meV per atom.


Record 2
Entry from OQMD via LeMat-Bulk: crystalline Dy4S3Br4 at its relaxed geometry (PBE).

a b c (Å): 4.460 9.226 7.120
angles (deg): 90.00 90.00 90.00
Space group Pmm2 (No. 25)
One atom of each set of equivalent atoms:
Dy: 0.000 0.000 0.000 x1
Dy: 0.000 0.500 0.086 x1
Dy: 0.500 0.218 0.429 x2
S: 0.000 0.229 0.225 x2
S: 0.500 0.500 0.293 x1
Br: 0.000 0.000 0.584 x1
Br: 0.000 0.500 0.694 x1
Br: 0.500 0.204 0.848 x2

Calculated values
Its raw total energy is -5.1206 eV/atom. As for the crystal system: orthorhombic. The value obtained for the size of the total moment is 0.001 μB/atom.


Record 3
Entry from OQMD via LeMat-Bulk: crystalline DyScS2Br2 at its relaxed geometry (PBE).

a b c (Å): 3.921 5.241 8.930
angles (deg): 90.00 90.00 90.00
Space group Pmm2 (No. 25)
One atom of each set of equivalent atoms:
Dy: 0.000 0.000 0.000 x1
Sc: 0.500 0.500 0.751 x1
S: 0.000 0.500 0.942 x1
S: 0.500 0.000 0.788 x1
Br: 0.000 0.500 0.544 x1
Br: 0.500 0.000 0.226 x1

Calculated values
Its raw total energy is -5.6670 eV/atom. As for the crystal system: orthorhombic. The value obtained for the size of the total moment is 0.000 μB/atom.


Record 4
Entry from OQMD via LeMat-Bulk: crystalline SmDyS2Br2 at its relaxed geometry (PBE).

a b c (Å): 4.143 5.398 9.239
angles (deg): 90.00 90.00 90.00
Space group Pmm2 (No. 25)
One atom of each set of equivalent atoms:
Sm: 0.000 0.000 0.000 x1
Dy: 0.500 0.500 0.740 x1
S: 0.000 0.500 0.935 x1
S: 0.500 0.000 0.795 x1
Br: 0.000 0.500 0.529 x1
Br: 0.500 0.000 0.218 x1

Calculated values
Its raw total energy is -5.4910 eV/atom. As for the crystal system: orthorhombic. The value obtained for the size of the total moment is 0.001 μB/atom.


Record 5
Entry from OQMD via LeMat-Bulk: crystalline TbDyS2Br2 at its relaxed geometry (PBE).

a b c (Å): 4.082 5.370 9.129
angles (deg): 90.00 90.00 90.00
Space group Pmm2 (No. 25)
One atom of each set of equivalent atoms:
Tb: 0.000 0.000 0.000 x1
Dy: 0.500 0.500 0.255 x1
S: 0.000 0.500 0.054 x1
S: 0.500 0.000 0.203 x1
Br: 0.000 0.500 0.470 x1
Br: 0.500 0.000 0.783 x1

Calculated values
Its raw total energy is -5.4893 eV/atom. As for the crystal system: orthorhombic. The value obtained for the size of the total moment is 0.000 μB/atom.


Record 6
Entry from OQMD via LeMat-Bulk: crystalline Dy4Se3Br4 at its relaxed geometry (PBE).

a b c (Å): 4.268 9.794 7.604
angles (deg): 90.00 90.00 90.00
Space group Pmm2 (No. 25)
One atom of each set of equivalent atoms:
Dy: 0.000 0.000 0.000 x1
Dy: 0.000 0.500 0.223 x1
Dy: 0.500 0.203 0.480 x2
Se: 0.000 0.215 0.245 x2
Se: 0.500 0.500 0.465 x1
Br: 0.000 0.000 0.603 x1
Br: 0.000 0.500 0.876 x1
Br: 0.500 0.189 0.868 x2

Calculated values
Its raw total energy is -4.8234 eV/atom. As for the crystal system: orthorhombic. The value obtained for the size of the total moment is 0.000 μB/atom.


- Look up the size of the total moment of the fourth one.
  0.001 μB/atom